Material: PtSe2Cl
Method: DFT, PBE-GGA
State: relaxed

## Properties
ΔE to the lowest computed polymorph	0.015	eV/atom
total magnetic moment	0.00	μB per cell
theoretical density	7.1	g/cm³
N(E_F)	0.680	states/eV per cell
energy relative to the elements, uncorrected	-1.3	eV/f.u.

a = 3.772 Å, b = 4.751 Å, c = 6.002 Å
α = 57.23°, β = 90.00°, γ = 90.00°
Fractional positions:
Pt  0.500  0.750  0.750
Se  0.000  0.950  0.905
Se  0.000  0.550  0.595
Cl  0.500  0.250  0.250

Material: LiBe2H4
Method: DFT, PBE-GGA
State: relaxed

## Properties
ΔE to the lowest computed polymorph	0.071	eV/atom
total magnetic moment	0.00	μB per cell
theoretical density	0.9	g/cm³
N(E_F)	1.390	states/eV per cell

a = 3.572 Å, b = 3.572 Å, c = 4.292 Å
α = 90.00°, β = 90.00°, γ = 90.00°
Fractional positions:
Be  0.000  0.500  0.500
Be  0.500  0.000  0.500
H  0.743  0.743  0.311
H  0.743  0.257  0.689
H  0.257  0.257  0.311
H  0.257  0.743  0.689
Li  0.000  0.000  0.000

Material: Pm4PrEr2
Method: DFT, PBE-GGA
State: relaxed

## Properties
ΔE to the lowest computed polymorph	0.061	eV/atom
E_form	0.8	eV/f.u.
total magnetic moment	0.00	μB per cell
theoretical density	7.5	g/cm³
N(E_F)	20.918	states/eV per cell

a = 6.204 Å, b = 6.648 Å, c = 11.808 Å
α = 90.00°, β = 105.91°, γ = 90.00°
Fractional positions:
Er  0.706  0.750  0.561
Er  0.599  0.750  0.999
Er  0.294  0.250  0.439
Er  0.401  0.250  0.001
Pm  0.004  0.750  0.849
Pm  0.647  0.002  0.288
Pm  0.353  0.502  0.712
Pm  0.145  0.750  0.439
Pm  0.353  0.998  0.712
Pm  0.647  0.498  0.288
Pm  0.996  0.250  0.151
Pm  0.855  0.250  0.561
Pr  0.833  0.250  0.850
Pr  0.167  0.750  0.150

Material: MgSiRh2
Method: DFT, PBE-GGA
State: relaxed

## Properties
total magnetic moment	0.00	μB per cell
theoretical density	7.4	g/cm³
N(E_F)	5.637	states/eV per cell
energy relative to the elements, uncorrected	-0.8	eV/f.u.

a = 4.351 Å, b = 4.351 Å, c = 4.351 Å
α = 60.00°, β = 60.00°, γ = 60.00°
Fractional positions:
Mg  0.500  0.500  0.500
Rh  0.000  0.000  0.000
Rh  0.250  0.250  0.250
Si  0.750  0.750  0.750

Material: Dy3Ho2In3
Method: DFT, PBE-GGA
State: relaxed

## Properties
E_form	-2.9	eV/f.u.
total magnetic moment	0.00	μB per cell
theoretical density	8.7	g/cm³
N(E_F)	6.247	states/eV per cell

a = 3.756 Å, b = 5.325 Å, c = 11.590 Å
α = 103.28°, β = 99.33°, γ = 90.00°
Fractional positions:
In  0.000  0.500  0.000
In  0.880  0.880  0.761
In  0.120  0.120  0.239
Dy  0.500  0.000  0.000
Dy  0.375  0.375  0.751
Dy  0.625  0.625  0.249
Ho  0.265  0.765  0.530
Ho  0.735  0.235  0.470

Material: InHSeBr2
Method: DFT, PBE-GGA
State: relaxed

## Properties
ΔE to the lowest computed polymorph	0.184	eV/atom
total magnetic moment	2.15	μB per cell
theoretical density	3.6	g/cm³
N(E_F)	3.896	states/eV per cell

a = 5.528 Å, b = 5.528 Å, c = 5.365 Å
α = 90.00°, β = 90.00°, γ = 90.00°
Fractional positions:
Br  0.500  0.000  0.000
Br  0.000  0.500  0.000
Se  0.000  0.000  0.500
In  0.000  0.000  0.000
H  0.500  0.500  0.500

Material: Dy2ScGa3
Method: DFT, PBE-GGA
State: relaxed

## Properties
ΔE to the lowest computed polymorph	0.000	eV/atom
E_form	-3.4	eV/f.u.
total magnetic moment	0.00	μB per cell
theoretical density	7.4	g/cm³
N(E_F)	5.549	states/eV per cell

a = 4.949 Å, b = 4.949 Å, c = 12.183 Å
α = 90.00°, β = 90.00°, γ = 120.00°
Fractional positions:
Sc  0.333  0.667  0.666
Sc  0.667  0.333  0.334
Ga  0.333  0.667  0.914
Ga  0.667  0.333  0.581
Ga  0.667  0.333  0.086
Ga  0.000  0.000  0.255
Ga  0.000  0.000  0.745
Ga  0.333  0.667  0.419
Dy  0.000  0.000  0.000
Dy  0.667  0.333  0.827
Dy  0.000  0.000  0.500
Dy  0.333  0.667  0.173

Material: PuAl6S8
Method: DFT, PBE-GGA
State: relaxed

## Properties
total magnetic moment	4.43	μB per cell
theoretical density	3.7	g/cm³
N(E_F)	15.859	states/eV per cell
energy relative to the elements, uncorrected	-11.9	eV/f.u.

a = 6.667 Å, b = 6.667 Å, c = 6.667 Å
α = 93.71°, β = 93.71°, γ = 93.71°
Fractional positions:
Al  0.613  0.246  0.342
Al  0.387  0.754  0.658
Al  0.754  0.658  0.387
Al  0.658  0.387  0.754
Al  0.246  0.342  0.613
Al  0.342  0.613  0.246
S  0.266  0.266  0.266
S  0.618  0.908  0.210
S  0.210  0.618  0.908
S  0.790  0.382  0.092
S  0.908  0.210  0.618
S  0.734  0.734  0.734
S  0.092  0.790  0.382
S  0.382  0.092  0.790
Pu  0.000  0.000  0.000

Material: ZnCr
Method: DFT, PBE-GGA
State: relaxed

## Properties
E_form	0.6	eV/f.u.
total magnetic moment	0.00	μB per cell
theoretical density	7.7	g/cm³
N(E_F)	3.831	states/eV per cell

a = 3.744 Å, b = 4.490 Å, c = 3.744 Å
α = 65.36°, β = 90.00°, γ = 114.64°
Fractional positions:
Cr  0.000  0.000  0.000
Cr  0.750  0.500  0.750
Zn  0.250  0.500  0.250
Zn  0.500  0.000  0.500

Material: CsTiTe4
Method: DFT, PBE-GGA
State: relaxed

## Properties
ΔE to the lowest computed polymorph	0.057	eV/atom
total magnetic moment	0.00	μB per cell
theoretical density	4.9	g/cm³
N(E_F)	4.274	states/eV per cell
energy relative to the elements, uncorrected	-3.3	eV/f.u.

a = 6.642 Å, b = 9.507 Å, c = 9.514 Å
α = 123.75°, β = 99.99°, γ = 99.95°
Fractional positions:
Te  0.029  0.926  0.192
Te  0.632  0.193  0.332
Te  0.868  0.668  0.807
Te  0.971  0.074  0.808
Te  0.471  0.808  0.073
Te  0.368  0.807  0.668
Te  0.131  0.332  0.193
Te  0.529  0.192  0.927
Cs  0.750  0.647  0.354
Cs  0.250  0.353  0.646
Ti  0.250  0.000  0.000
Ti  0.750  0.000  0.000

Material: Tb3ErTh2
Method: DFT, PBE-GGA
State: relaxed

## Properties
ΔE to the lowest computed polymorph	0.000	eV/atom
E_form	0.2	eV/f.u.
total magnetic moment	0.00	μB per cell
theoretical density	9.6	g/cm³
N(E_F)	15.176	states/eV per cell

a = 3.574 Å, b = 10.030 Å, c = 10.662 Å
α = 90.14°, β = 90.00°, γ = 90.00°
Fractional positions:
Th  0.750  0.120  0.917
Th  0.750  0.623  0.583
Th  0.250  0.377  0.417
Th  0.250  0.880  0.083
Tb  0.250  0.869  0.417
Tb  0.250  0.376  0.749
Tb  0.250  0.367  0.082
Tb  0.750  0.131  0.583
Tb  0.750  0.624  0.251
Tb  0.750  0.633  0.918
Er  0.750  0.124  0.250
Er  0.250  0.876  0.750

Material: K2Rb2Cd
Method: DFT, PBE-GGA
State: relaxed

## Properties
ΔE to the lowest computed polymorph	0.098	eV/atom
E_form	0.4	eV/f.u.
total magnetic moment	0.00	μB per cell
theoretical density	1.7	g/cm³
N(E_F)	7.484	states/eV per cell

a = 9.826 Å, b = 9.826 Å, c = 7.314 Å
α = 90.00°, β = 90.00°, γ = 90.00°
Fractional positions:
K  0.827  0.327  0.500
K  0.173  0.673  0.500
K  0.327  0.173  0.500
K  0.673  0.827  0.500
Cd  0.000  0.000  0.000
Cd  0.500  0.500  0.000
Rb  0.656  0.156  0.000
Rb  0.844  0.656  0.000
Rb  0.156  0.344  0.000
Rb  0.344  0.844  0.000